ScTc2Se: single point on PBEsol structure, meta-GGA SCAN.

energy relative to the elements, uncorrected: -100 meV per atom
space group: C2/m (12)
final energy: -0.9632 hartree per atom
DOS(E_F): 4.07 states/eV per cell

Lattice parameters (Å, degrees): 3.024 4.453 5.310 113.45 106.54 90.00
Positions (direct):
1 Sc 0.500 0.000 0.000
2 Se 0.000 0.500 0.000
3 Tc 0.281 0.273 0.561
4 Tc 0.719 0.727 0.439